Ba7Na12Ir, optimized geometry, DFT PBE; formation energy = 100 meV/atom
1.0
10.560 6.097 2.475
-10.560 6.097 2.475
0.000 -12.194 2.475
Ba Na Ir
7 12 1
Direct
0.000 0.000 0.000
0.161 0.394 0.394
0.394 0.161 0.394
0.394 0.394 0.161
0.606 0.606 0.839
0.606 0.839 0.606
0.839 0.606 0.606
0.000 0.397 0.603
0.000 0.603 0.397
0.054 0.054 0.415
0.054 0.415 0.054
0.397 0.000 0.603
0.397 0.603 0.000
0.415 0.054 0.054
0.585 0.946 0.946
0.603 0.000 0.397
0.603 0.397 0.000
0.946 0.585 0.946
0.946 0.946 0.585
0.500 0.500 0.500